# Rb3BaTh2Se6

A relaxed Rb3BaTh2Se6 crystal (GGA-PBE, Alexandria via LeMat-Bulk).

a = 10.547 Å, b = 10.547 Å, c = 9.664 Å
α = 107.33°, β = 107.33°, γ = 24.26°
Sites, in units of the cell vectors:
Rb: 0.000 0.000 0.000
Rb: 0.338 0.338 0.667
Rb: 0.662 0.662 0.333
Ba: 0.000 0.000 0.500
Th: 0.331 0.331 0.162
Th: 0.669 0.669 0.838
Se: 0.168 0.168 0.629
Se: 0.178 0.178 0.056
Se: 0.477 0.477 0.245
Se: 0.523 0.523 0.755
Se: 0.822 0.822 0.944
Se: 0.832 0.832 0.371

For the density of states at the Fermi level, the calculation gives 5.51 states/eV/cell. Its total DFT energy (no corrections) is -5.00 eV per atom. The calculation puts the density at 5.3 g/cm3. As for the total magnetization: 0.00 μB per formula unit.



# InAuN2F

A relaxed InAuN2F crystal (GGA-PBE, Alexandria via LeMat-Bulk).

a = 4.361 Å, b = 4.361 Å, c = 4.213 Å
α = 90.00°, β = 90.00°, γ = 90.00°
Sites, in units of the cell vectors:
In: 0.000 0.000 0.000
Au: 0.500 0.500 0.500
N: 0.000 0.500 0.000
N: 0.500 0.000 0.000
F: 0.000 0.000 0.500

The distance to the lowest polymorph of the same formula is 34 meV/atom. For the density of states at the Fermi level, the calculation gives 0.71 states/eV/cell. Its total DFT energy (no corrections) is -3.97 eV per atom. The calculation puts the density at 7.4 g/cm3. As for the total magnetization: 2.97 μB per formula unit.



# V3InI

A relaxed V3InI crystal (GGA-PBE, Alexandria via LeMat-Bulk).

a = 4.778 Å, b = 4.778 Å, c = 4.778 Å
α = 90.00°, β = 90.00°, γ = 90.00°
Sites, in units of the cell vectors:
V: 0.000 0.000 0.500
V: 0.000 0.500 0.000
V: 0.500 0.000 0.000
In: 0.500 0.500 0.500
I: 0.000 0.000 0.000

The distance to the lowest polymorph of the same formula is 0 meV/atom. For the density of states at the Fermi level, the calculation gives 7.69 states/eV/cell. Its total DFT energy (no corrections) is -4.93 eV per atom. The calculation puts the density at 6.0 g/cm3. As for the total magnetization: 1.40 μB per formula unit.



# Sr2MgCdN

A relaxed Sr2MgCdN crystal (GGA-PBE, Alexandria via LeMat-Bulk).

a = 5.483 Å, b = 5.483 Å, c = 4.243 Å
α = 90.00°, β = 90.00°, γ = 90.00°
Sites, in units of the cell vectors:
Sr: 0.000 0.500 0.000
Sr: 0.500 0.000 0.000
Mg: 0.000 0.000 0.500
Cd: 0.500 0.500 0.500
N: 0.000 0.000 0.000

For the density of states at the Fermi level, the calculation gives 4.08 states/eV/cell. Its total DFT energy (no corrections) is -3.22 eV per atom. The calculation puts the density at 4.2 g/cm3. As for the total magnetization: 0.00 μB per formula unit.



# SbCl

A relaxed SbCl crystal (GGA-PBE, Alexandria via LeMat-Bulk).

a = 3.429 Å, b = 3.429 Å, c = 4.878 Å
α = 90.00°, β = 90.00°, γ = 121.48°
Sites, in units of the cell vectors:
Sb: 0.000 0.000 0.000
Cl: 0.500 0.500 0.500

The distance to the lowest polymorph of the same formula is 311 meV/atom. For the density of states at the Fermi level, the calculation gives 0.76 states/eV/cell. Its total DFT energy (no corrections) is -3.15 eV per atom. The calculation puts the density at 5.3 g/cm3. As for the total magnetization: 0.00 μB per formula unit.



# Y2TmZrP4

A relaxed Y2TmZrP4 crystal (GGA-PBE, Alexandria via LeMat-Bulk).

a = 6.786 Å, b = 3.915 Å, c = 6.792 Å
α = 90.00°, β = 109.28°, γ = 90.00°
Sites, in units of the cell vectors:
Y: 0.000 0.000 0.000
Y: 0.500 0.500 0.000
Tm: 0.000 0.500 0.500
Zr: 0.500 0.000 0.500
P: 0.253 0.000 0.741
P: 0.259 0.500 0.262
P: 0.741 0.500 0.738
P: 0.747 0.000 0.259

For the density of states at the Fermi level, the calculation gives 1.54 states/eV/cell. Its total DFT energy (no corrections) is -7.51 eV per atom. The calculation puts the density at 5.5 g/cm3. As for the formation energy: -1558 meV per atom. As for the total magnetization: 0.00 μB per formula unit.



Q: Number 4 is which compound?
A: Sr2MgCdN



Q: Number 2 is which compound?
A: InAuN2F